Below is a crystal of Tb2WO6 relaxed with PBEsol, with properties calculated at the SCAN level.

Values from the calculation:
- Symmetry: P2_12_12_1, No. 19
- Mass density: 8.5 Mg/m³

abc: 5.223 9.053 9.867
angles: 90.00 90.00 90.00
Element x y z (fractional)
Tb1 0.021 0.103 0.466
Tb2 0.038 0.220 0.872
Tb3 0.462 0.780 0.372
Tb4 0.479 0.897 0.966
Tb5 0.521 0.397 0.534
Tb6 0.538 0.280 0.128
Tb7 0.962 0.720 0.628
Tb8 0.979 0.603 0.034
W1 0.041 0.496 0.348
W2 0.459 0.504 0.848
W3 0.541 0.004 0.652
W4 0.959 0.996 0.152
O1 0.079 0.844 0.029
O2 0.176 0.952 0.296
O3 0.180 0.636 0.819
O4 0.191 0.641 0.235
O5 0.231 0.113 0.066
O6 0.250 0.409 0.994
O7 0.250 0.591 0.494
O8 0.269 0.887 0.566
O9 0.309 0.359 0.735
O10 0.320 0.364 0.319
O11 0.324 0.048 0.796
O12 0.421 0.156 0.529
O13 0.579 0.656 0.971
O14 0.676 0.548 0.704
O15 0.680 0.864 0.181
O16 0.691 0.859 0.765
O17 0.731 0.387 0.934
O18 0.750 0.091 0.006
O19 0.750 0.909 0.506
O20 0.769 0.613 0.434
O21 0.809 0.141 0.265
O22 0.820 0.136 0.681
O23 0.824 0.452 0.204
O24 0.921 0.344 0.471

Below is a crystal of Tb2WO6 relaxed with PBEsol, with properties calculated at the SCAN level.

Values from the calculation:
- Symmetry: P2_1, No. 4
- Mass density: 8.3 Mg/m³

abc: 5.554 5.352 8.124
angles: 90.00 96.37 90.00
Element x y z (fractional)
Tb1 0.016 0.000 0.137
Tb2 0.482 0.944 0.864
Tb3 0.518 0.444 0.136
Tb4 0.984 0.500 0.863
W1 0.246 0.544 0.480
W2 0.754 0.044 0.520
O1 0.023 0.785 0.413
O2 0.201 0.316 0.309
O3 0.250 0.725 0.027
O4 0.251 0.218 0.977
O5 0.299 0.617 0.701
O6 0.488 0.185 0.590
O7 0.512 0.685 0.410
O8 0.701 0.117 0.299
O9 0.749 0.718 0.023
O10 0.750 0.225 0.973
O11 0.799 0.816 0.691
O12 0.977 0.285 0.587

Below is a crystal of Tb2WO6 relaxed with PBEsol, with properties calculated at the SCAN level.

Values from the calculation:
- Symmetry: P2/c, No. 13
- Mass density: 8.9 Mg/m³

abc: 7.622 5.335 11.344
angles: 90.00 104.58 90.00
Element x y z (fractional)
Tb1 0.000 0.181 0.250
Tb2 0.000 0.819 0.750
Tb3 0.297 0.315 0.923
Tb4 0.297 0.685 0.423
Tb5 0.500 0.237 0.250
Tb6 0.500 0.763 0.750
Tb7 0.703 0.315 0.577
Tb8 0.703 0.685 0.077
W1 0.222 0.246 0.614
W2 0.222 0.754 0.114
W3 0.778 0.246 0.886
W4 0.778 0.754 0.386
O1 0.011 0.143 0.888
O2 0.011 0.857 0.388
O3 0.133 0.346 0.451
O4 0.133 0.654 0.951
O5 0.212 0.485 0.229
O6 0.212 0.515 0.729
O7 0.285 0.038 0.771
O8 0.285 0.962 0.271
O9 0.353 0.023 0.070
O10 0.353 0.977 0.570
O11 0.436 0.462 0.603
O12 0.436 0.538 0.103
O13 0.564 0.462 0.897
O14 0.564 0.538 0.397
O15 0.647 0.023 0.430
O16 0.647 0.977 0.930
O17 0.715 0.038 0.729
O18 0.715 0.962 0.229
O19 0.788 0.485 0.271
O20 0.788 0.515 0.771
O21 0.867 0.346 0.049
O22 0.867 0.654 0.549
O23 0.989 0.143 0.612
O24 0.989 0.857 0.112

Below is a crystal of Tb2WO6 relaxed with PBEsol, with properties calculated at the SCAN level.

Values from the calculation:
- Symmetry: C2/c, No. 15
- Mass density: 8.9 Mg/m³

abc: 9.592 9.592 5.360
angles: 102.43 102.43 69.69
Element x y z (fractional)
Tb1 0.060 0.287 0.887
Tb2 0.109 0.891 0.750
Tb3 0.287 0.060 0.387
Tb4 0.376 0.624 0.250
Tb5 0.624 0.376 0.750
Tb6 0.713 0.940 0.613
Tb7 0.891 0.109 0.250
Tb8 0.940 0.713 0.113
W1 0.183 0.502 0.582
W2 0.498 0.817 0.918
W3 0.502 0.183 0.082
W4 0.817 0.498 0.418
O1 0.037 0.470 0.280
O2 0.079 0.103 0.080
O3 0.103 0.079 0.580
O4 0.150 0.682 0.420
O5 0.183 0.623 0.903
O6 0.223 0.309 0.641
O7 0.309 0.223 0.141
O8 0.318 0.850 0.080
O9 0.377 0.817 0.597
O10 0.378 0.462 0.532
O11 0.462 0.378 0.032
O12 0.470 0.037 0.780
O13 0.530 0.963 0.220
O14 0.538 0.622 0.968
O15 0.622 0.538 0.468
O16 0.623 0.183 0.403
O17 0.682 0.150 0.920
O18 0.691 0.777 0.859
O19 0.777 0.691 0.359
O20 0.817 0.377 0.097
O21 0.850 0.318 0.580
O22 0.897 0.921 0.420
O23 0.921 0.897 0.920
O24 0.963 0.530 0.720

Below is a crystal of Tb2WO6 relaxed with PBEsol, with properties calculated at the SCAN level.

Values from the calculation:
- Symmetry: Pbca, No. 61
- Mass density: 8.6 Mg/m³

abc: 5.526 15.828 10.570
angles: 90.00 90.00 90.00
Element x y z (fractional)
Tb1 0.051 0.231 0.144
Tb2 0.051 0.269 0.644
Tb3 0.101 0.062 0.359
Tb4 0.101 0.438 0.859
Tb5 0.399 0.562 0.359
Tb6 0.399 0.938 0.859
Tb7 0.449 0.731 0.144
Tb8 0.449 0.769 0.644
Tb9 0.551 0.231 0.356
Tb10 0.551 0.269 0.856
Tb11 0.601 0.062 0.141
Tb12 0.601 0.438 0.641
Tb13 0.899 0.562 0.141
Tb14 0.899 0.938 0.641
Tb15 0.949 0.731 0.356
Tb16 0.949 0.769 0.856
W1 0.111 0.121 0.879
W2 0.111 0.379 0.379
W3 0.389 0.621 0.879
W4 0.389 0.879 0.379
W5 0.611 0.121 0.621
W6 0.611 0.379 0.121
W7 0.889 0.621 0.621
W8 0.889 0.879 0.121
O1 0.077 0.023 0.787
O2 0.077 0.477 0.287
O3 0.088 0.607 0.487
O4 0.088 0.893 0.987
O5 0.113 0.576 0.955
O6 0.113 0.924 0.455
O7 0.161 0.671 0.731
O8 0.161 0.829 0.231
O9 0.174 0.235 0.938
O10 0.174 0.265 0.438
O11 0.177 0.645 0.230
O12 0.177 0.855 0.730
O13 0.323 0.145 0.230
O14 0.323 0.355 0.730
O15 0.326 0.735 0.938
O16 0.326 0.765 0.438
O17 0.339 0.171 0.731
O18 0.339 0.329 0.231
O19 0.387 0.076 0.955
O20 0.387 0.424 0.455
O21 0.412 0.107 0.487
O22 0.412 0.393 0.987
O23 0.423 0.523 0.787
O24 0.423 0.977 0.287
O25 0.577 0.023 0.713
O26 0.577 0.477 0.213
O27 0.588 0.607 0.013
O28 0.588 0.893 0.513
O29 0.613 0.576 0.545
O30 0.613 0.924 0.045
O31 0.661 0.671 0.769
O32 0.661 0.829 0.269
O33 0.674 0.235 0.562
O34 0.674 0.265 0.062
O35 0.677 0.645 0.270
O36 0.677 0.855 0.770
O37 0.823 0.145 0.270
O38 0.823 0.355 0.770
O39 0.826 0.735 0.562
O40 0.826 0.765 0.062
O41 0.839 0.171 0.769
O42 0.839 0.329 0.269
O43 0.887 0.076 0.545
O44 0.887 0.424 0.045
O45 0.912 0.107 0.013
O46 0.912 0.393 0.513
O47 0.923 0.523 0.713
O48 0.923 0.977 0.213

Below is a crystal of Tb2Y2O5 relaxed with PBEsol, with properties calculated at the SCAN level.

Values from the calculation:
- Symmetry: P4/mmm, No. 123
- Mass density: 6.7 Mg/m³

abc: 3.834 3.834 9.776
angles: 90.00 90.00 90.00
Element x y z (fractional)
Tb1 0.000 0.000 0.239
Tb2 0.000 0.000 0.761
Y1 0.500 0.500 0.000
Y2 0.500 0.500 0.500
O1 0.000 0.000 0.500
O2 0.000 0.500 0.140
O3 0.000 0.500 0.860
O4 0.500 0.000 0.140
O5 0.500 0.000 0.860

Below is a crystal of Tb2Zr2O7 relaxed with PBEsol, with properties calculated at the SCAN level.

Values from the calculation:
- Symmetry: P4_2/mmc, No. 131
- Mass density: 7.1 Mg/m³

abc: 7.301 7.301 5.376
angles: 90.00 90.00 90.00
Element x y z (fractional)
Tb1 0.000 0.250 0.000
Tb2 0.000 0.750 0.000
Tb3 0.250 0.000 0.500
Tb4 0.750 0.000 0.500
Zr1 0.223 0.500 0.500
Zr2 0.500 0.223 0.000
Zr3 0.500 0.777 0.000
Zr4 0.777 0.500 0.500
O1 0.000 0.000 0.250
O2 0.000 0.000 0.750
O3 0.000 0.500 0.267
O4 0.000 0.500 0.733
O5 0.287 0.287 0.250
O6 0.287 0.287 0.750
O7 0.287 0.713 0.250
O8 0.287 0.713 0.750
O9 0.500 0.000 0.233
O10 0.500 0.000 0.767
O11 0.713 0.287 0.250
O12 0.713 0.287 0.750
O13 0.713 0.713 0.250
O14 0.713 0.713 0.750

Below is a crystal of Tb2Zr2O7 relaxed with PBEsol, with properties calculated at the SCAN level.

Values from the calculation:
- Symmetry: P4_12_12, No. 92
- Mass density: 6.2 Mg/m³

abc: 7.229 7.229 12.526
angles: 90.00 90.00 90.00
Element x y z (fractional)
Tb1 0.123 0.358 0.385
Tb2 0.142 0.623 0.635
Tb3 0.358 0.123 0.615
Tb4 0.377 0.858 0.865
Tb5 0.623 0.142 0.365
Tb6 0.642 0.877 0.115
Tb7 0.858 0.377 0.135
Tb8 0.877 0.642 0.885
Zr1 0.103 0.874 0.095
Zr2 0.126 0.897 0.405
Zr3 0.374 0.397 0.845
Zr4 0.397 0.374 0.155
Zr5 0.603 0.626 0.655
Zr6 0.626 0.603 0.345
Zr7 0.874 0.103 0.905
Zr8 0.897 0.126 0.595
O1 0.073 0.908 0.916
O2 0.085 0.323 0.574
O3 0.092 0.927 0.584
O4 0.135 0.349 0.204
O5 0.149 0.851 0.250
O6 0.151 0.635 0.454
O7 0.177 0.585 0.824
O8 0.323 0.085 0.426
O9 0.349 0.135 0.796
O10 0.351 0.351 0.000
O11 0.365 0.849 0.046
O12 0.408 0.427 0.666
O13 0.415 0.823 0.676
O14 0.427 0.408 0.334
O15 0.573 0.592 0.834
O16 0.585 0.177 0.176
O17 0.592 0.573 0.166
O18 0.635 0.151 0.546
O19 0.649 0.649 0.500
O20 0.651 0.865 0.296
O21 0.677 0.915 0.926
O22 0.823 0.415 0.324
O23 0.849 0.365 0.954
O24 0.851 0.149 0.750
O25 0.865 0.651 0.704
O26 0.908 0.073 0.084
O27 0.915 0.677 0.074
O28 0.927 0.092 0.416

Below is a crystal of Tb2Zr2O7 relaxed with PBEsol, with properties calculated at the SCAN level.

Values from the calculation:
- Symmetry: Fd-3m, No. 227
- Mass density: 7.1 Mg/m³

abc: 7.389 7.389 7.389
angles: 60.00 60.00 60.00
Element x y z (fractional)
Tb1 0.000 0.000 0.000
Tb2 0.000 0.000 0.500
Tb3 0.000 0.500 0.000
Tb4 0.500 0.000 0.000
Zr1 0.000 0.500 0.500
Zr2 0.500 0.000 0.500
Zr3 0.500 0.500 0.000
Zr4 0.500 0.500 0.500
O1 0.125 0.125 0.125
O2 0.159 0.159 0.591
O3 0.159 0.591 0.159
O4 0.159 0.591 0.591
O5 0.409 0.409 0.841
O6 0.409 0.841 0.409
O7 0.409 0.841 0.841
O8 0.591 0.159 0.159
O9 0.591 0.159 0.591
O10 0.591 0.591 0.159
O11 0.841 0.409 0.409
O12 0.841 0.409 0.841
O13 0.841 0.841 0.409
O14 0.875 0.875 0.875

Below is a crystal of TcTe2O relaxed with PBEsol, with properties calculated at the SCAN level.

Values from the calculation:
- Symmetry: R-3m, No. 166
- Mass density: 6.7 Mg/m³

abc: 6.875 6.875 6.875
angles: 34.07 34.07 34.07
Element x y z (fractional)
Tc1 0.000 0.000 0.000
Te1 0.398 0.398 0.398
Te2 0.602 0.602 0.602
O1 0.500 0.500 0.500

Below is a crystal of TlTcO3 relaxed with PBEsol, with properties calculated at the SCAN level.

Values from the calculation:
- Symmetry: Pm-3m, No. 221
- Mass density: 9.7 Mg/m³

abc: 3.918 3.918 3.918
angles: 90.00 90.00 90.00
Element x y z (fractional)
Tl1 0.000 0.000 0.000
Tc1 0.500 0.500 0.500
O1 0.000 0.500 0.500
O2 0.500 0.000 0.500
O3 0.500 0.500 0.000

Below is a crystal of TlTc3O relaxed with PBEsol, with properties calculated at the SCAN level.

Values from the calculation:
- Symmetry: Pm-3m, No. 221
- Mass density: 6.4 Mg/m³

abc: 5.103 5.103 5.103
angles: 90.00 90.00 90.00
Element x y z (fractional)
Tl1 0.000 0.000 0.000
Tc1 0.000 0.000 0.500
Tc2 0.000 0.500 0.000
Tc3 0.500 0.000 0.000
O1 0.500 0.500 0.500

Below is a crystal of YTc3O relaxed with PBEsol, with properties calculated at the SCAN level.

Values from the calculation:
- Symmetry: Pm-3m, No. 221
- Mass density: 6.3 Mg/m³

abc: 4.724 4.724 4.724
angles: 90.00 90.00 90.00
Element x y z (fractional)
Y1 0.000 0.000 0.000
Tc1 0.000 0.000 0.500
Tc2 0.000 0.500 0.000
Tc3 0.500 0.000 0.000
O1 0.500 0.500 0.500

| no. | formation energy (no corrections) (eV/atom) | VASP energy (eV/atom) |
| --- | --- | --- |
| 1 | -3.2926 | -25.5815 |
| 2 | -3.2464 | -25.5353 |
| 3 | -3.3100 | -25.5989 |
| 4 | -3.2956 | -25.5845 |
| 5 | -3.3040 | -25.5929 |
| 6 | -3.1860 | -23.2267 |
| 7 | -3.7862 | -21.8354 |
| 8 | -3.7325 | -21.7817 |
| 9 | -3.8229 | -21.8720 |
| 10 | -0.0981 | -29.0465 |
| 11 | -1.2605 | -26.4829 |
| 12 | 2.8536 | -33.9003 |
| 13 | 3.0415 | -24.8093 |